Entry 1:
Below is an optimized crystal structure of PrPuAg, with properties calculated at the PBE level.

Cell: 4.956 4.956 4.956 Å, 60.00 60.00 60.00°
Positions (direct):
Pr 0.000 0.000 0.000
Pu 0.750 0.750 0.750
Ag 0.500 0.500 0.500

As for the formation enthalpy at 0 K: 1.3 eV/f.u. For the volume, the calculation gives 28.70 A^3/atom. For the spin magnetization, the calculation gives 6.02 μB/f.u. Its space-group type is No. 216.

Entry 2:
Below is an optimized crystal structure of RbPrAgSe3, with properties calculated at the PBE level.

Cell: 7.980 7.980 11.216 Å, 90.00 90.00 148.75°
Positions (direct):
Rb 0.248 0.752 0.750
Rb 0.752 0.248 0.250
Pr 0.500 0.500 0.000
Pr 0.500 0.500 0.500
Ag 0.035 0.965 0.250
Ag 0.965 0.035 0.750
Se 0.129 0.871 0.055
Se 0.129 0.871 0.445
Se 0.430 0.570 0.250
Se 0.570 0.430 0.750
Se 0.871 0.129 0.555
Se 0.871 0.129 0.945

As for the raw total energy: -4.282 eV per atom. For the volume, the calculation gives 30.87 A^3/atom. For the spin magnetization, the calculation gives 0.01 μB/f.u. Its space-group type is No. 63.

Entry 3:
Below is an optimized crystal structure of PrReAg, with properties calculated at the PBE level.

Cell: 4.851 4.851 4.851 Å, 60.00 60.00 60.00°
Positions (direct):
Pr 0.000 0.000 0.000
Re 0.250 0.250 0.250
Ag 0.750 0.750 0.750

As for the formation enthalpy at 0 K: 4.5 eV/f.u. For the volume, the calculation gives 26.91 A^3/atom. For the spin magnetization, the calculation gives 2.86 μB/f.u. Its space-group type is No. 216.

Entry 4:
Below is an optimized crystal structure of Pr2AgS3, with properties calculated at the PBE level.

Cell: 8.738 3.991 15.937 Å, 90.00 90.00 90.00°
Positions (direct):
Pr 0.103 0.250 0.219
Pr 0.194 0.250 0.952
Pr 0.306 0.750 0.452
Pr 0.397 0.750 0.719
Pr 0.603 0.250 0.281
Pr 0.694 0.250 0.548
Pr 0.806 0.750 0.048
Pr 0.897 0.750 0.781
Ag 0.084 0.250 0.609
Ag 0.416 0.750 0.109
Ag 0.584 0.250 0.891
Ag 0.916 0.750 0.391
S 0.091 0.250 0.402
S 0.130 0.750 0.079
S 0.152 0.250 0.771
S 0.348 0.750 0.271
S 0.370 0.250 0.579
S 0.409 0.750 0.902
S 0.591 0.250 0.098
S 0.630 0.750 0.421
S 0.652 0.250 0.729
S 0.848 0.750 0.229
S 0.870 0.250 0.921
S 0.909 0.750 0.598

As for the raw total energy: -5.625 eV per atom. For the volume, the calculation gives 23.16 A^3/atom. For the spin magnetization, the calculation gives 0.07 μB/f.u. Its space-group type is No. 62.

Entry 5:
Below is an optimized crystal structure of PrAgS2, with properties calculated at the PBE level.

Cell: 6.810 7.432 7.163 Å, 90.00 99.50 90.00°
Positions (direct):
Pr 0.194 0.050 0.299
Pr 0.194 0.450 0.799
Pr 0.806 0.550 0.201
Pr 0.806 0.950 0.701
Ag 0.405 0.664 0.449
Ag 0.405 0.836 0.949
Ag 0.595 0.164 0.051
Ag 0.595 0.336 0.551
S 0.059 0.733 0.505
S 0.059 0.767 0.005
S 0.402 0.108 0.703
S 0.402 0.392 0.203
S 0.598 0.608 0.797
S 0.598 0.892 0.297
S 0.941 0.233 0.995
S 0.941 0.267 0.495

As for the raw total energy: -5.263 eV per atom. For the volume, the calculation gives 22.35 A^3/atom. For the spin magnetization, the calculation gives 0.00 μB/f.u. Its space-group type is No. 14.

Entry 6:
Below is an optimized crystal structure of Pr2AgS3, with properties calculated at the PBE level.

Cell: 10.605 3.989 13.347 Å, 90.00 90.00 90.00°
Positions (direct):
Pr 0.023 0.250 0.240
Pr 0.211 0.750 0.515
Pr 0.289 0.250 0.015
Pr 0.477 0.750 0.740
Pr 0.523 0.250 0.260
Pr 0.711 0.750 0.985
Pr 0.789 0.250 0.485
Pr 0.977 0.750 0.760
Ag 0.227 0.250 0.734
Ag 0.273 0.750 0.234
Ag 0.727 0.250 0.766
Ag 0.773 0.750 0.266
S 0.041 0.250 0.608
S 0.110 0.750 0.098
S 0.233 0.750 0.855
S 0.267 0.250 0.355
S 0.390 0.250 0.598
S 0.459 0.750 0.108
S 0.541 0.250 0.892
S 0.610 0.750 0.402
S 0.733 0.750 0.645
S 0.767 0.250 0.145
S 0.890 0.250 0.902
S 0.959 0.750 0.392

As for the raw total energy: -5.610 eV per atom. For the volume, the calculation gives 23.53 A^3/atom. For the spin magnetization, the calculation gives 0.00 μB/f.u. Its space-group type is No. 62.

Entry 7:
Below is an optimized crystal structure of SrPrAgSe2S, with properties calculated at the PBE level.

Cell: 7.240 7.240 10.723 Å, 90.00 90.00 146.05°
Positions (direct):
Sr 0.241 0.759 0.750
Sr 0.759 0.241 0.250
Pr 0.500 0.500 0.000
Pr 0.500 0.500 0.500
Ag 0.025 0.975 0.250
Ag 0.975 0.025 0.750
Se 0.148 0.852 0.061
Se 0.148 0.852 0.439
Se 0.852 0.148 0.561
Se 0.852 0.148 0.939
S 0.416 0.584 0.250
S 0.584 0.416 0.750

As for the raw total energy: -4.940 eV per atom. For the volume, the calculation gives 26.16 A^3/atom. For the spin magnetization, the calculation gives 0.00 μB/f.u. Its space-group type is No. 63.

Entry 8:
Below is an optimized crystal structure of Pr3SiAgS7, with properties calculated at the PBE level.

Cell: 10.373 10.373 5.798 Å, 90.00 90.00 120.00°
Positions (direct):
Pr 0.122 0.360 0.000
Pr 0.237 0.878 0.000
Pr 0.360 0.237 0.500
Pr 0.640 0.763 0.000
Pr 0.763 0.122 0.500
Pr 0.878 0.640 0.500
Si 0.333 0.667 0.413
Si 0.667 0.333 0.913
Ag 0.000 0.000 0.048
Ag 0.000 0.000 0.548
S 0.089 0.268 0.513
S 0.117 0.592 0.268
S 0.179 0.911 0.513
S 0.268 0.179 0.013
S 0.333 0.667 0.779
S 0.408 0.524 0.268
S 0.476 0.883 0.268
S 0.524 0.117 0.768
S 0.592 0.476 0.768
S 0.667 0.333 0.279
S 0.732 0.821 0.513
S 0.821 0.089 0.013
S 0.883 0.408 0.768
S 0.911 0.732 0.013

As for the raw total energy: -5.802 eV per atom. For the volume, the calculation gives 22.51 A^3/atom. For the spin magnetization, the calculation gives 0.00 μB/f.u. Its space-group type is No. 173.

Entry 9:
Below is an optimized crystal structure of PrSmAgS3, with properties calculated at the PBE level.

Cell: 6.927 6.927 10.671 Å, 90.00 90.00 147.13°
Positions (direct):
Pr 0.000 0.000 0.000
Pr 0.000 0.000 0.500
Sm 0.227 0.773 0.750
Sm 0.773 0.227 0.250
Ag 0.486 0.514 0.250
Ag 0.514 0.486 0.750
S 0.111 0.889 0.250
S 0.353 0.647 0.080
S 0.353 0.647 0.420
S 0.647 0.353 0.580
S 0.647 0.353 0.920
S 0.889 0.111 0.750

As for the raw total energy: -5.574 eV per atom. For the volume, the calculation gives 23.16 A^3/atom. For the spin magnetization, the calculation gives 0.01 μB/f.u. Its space-group type is No. 63.

Entry 10:
Below is an optimized crystal structure of PrAgSnS3, with properties calculated at the PBE level.

Cell: 6.863 6.863 10.761 Å, 90.00 90.00 145.47°
Positions (direct):
Pr 0.000 0.000 0.000
Pr 0.000 0.000 0.500
Ag 0.471 0.529 0.750
Ag 0.529 0.471 0.250
Sn 0.245 0.755 0.250
Sn 0.755 0.245 0.750
S 0.095 0.905 0.750
S 0.354 0.646 0.566
S 0.354 0.646 0.934
S 0.646 0.354 0.066
S 0.646 0.354 0.434
S 0.905 0.095 0.250

As for the raw total energy: -4.925 eV per atom. For the volume, the calculation gives 23.94 A^3/atom. For the spin magnetization, the calculation gives 0.00 μB/f.u. Its space-group type is No. 63.

Entry 11:
Below is an optimized crystal structure of PrAgSnTeS2, with properties calculated at the PBE level.

Cell: 7.295 7.295 11.470 Å, 90.00 90.00 146.89°
Positions (direct):
Pr 0.000 0.000 0.000
Pr 0.000 0.000 0.500
Ag 0.487 0.513 0.750
Ag 0.513 0.487 0.250
Sn 0.204 0.796 0.250
Sn 0.796 0.204 0.750
Te 0.121 0.879 0.750
Te 0.879 0.121 0.250
S 0.373 0.627 0.577
S 0.373 0.627 0.923
S 0.627 0.373 0.077
S 0.627 0.373 0.423

As for the raw total energy: -4.673 eV per atom. For the volume, the calculation gives 27.79 A^3/atom. For the spin magnetization, the calculation gives 0.00 μB/f.u. Its space-group type is No. 63.

Entry 12:
Below is an optimized crystal structure of PrAgSnTe2S, with properties calculated at the PBE level.

Cell: 7.593 7.593 10.652 Å, 90.00 90.00 146.49°
Positions (direct):
Pr 0.000 0.000 0.000
Pr 0.000 0.000 0.500
Ag 0.482 0.518 0.750
Ag 0.518 0.482 0.250
Sn 0.271 0.729 0.250
Sn 0.729 0.271 0.750
Te 0.345 0.655 0.563
Te 0.345 0.655 0.937
Te 0.655 0.345 0.063
Te 0.655 0.345 0.437
S 0.083 0.917 0.750
S 0.917 0.083 0.250

As for the raw total energy: -4.424 eV per atom. For the volume, the calculation gives 28.26 A^3/atom. For the spin magnetization, the calculation gives 0.00 μB/f.u. Its space-group type is No. 63.